[1]
Compound: TaRh4
Source: Alexandria
Functional: PBE
Structure: optimized geometry Values from VASP.

Values from the calculation:
- relative energy among the computed polymorphs (meV per atom) = 1569
- ρ (Mg/m³) = 9.68
- final energy (eV per atom) = -7.065

Cell and atoms, written as Quantum ESPRESSO input:
```
&SYSTEM
  ibrav = 0, nat = 5, ntyp = 2
/
ATOMIC_SPECIES
Ta 180.95 Ta.upf
Rh 102.91 Rh.upf
CELL_PARAMETERS angstrom
4.667 0.000 0.000
0.000 4.667 0.000
0.000 0.000 4.667
ATOMIC_POSITIONS angstrom
Ta 0.000 0.000 0.000
Rh 0.000 0.000 2.333
Rh 0.000 2.333 0.000
Rh 2.333 0.000 0.000
Rh 2.333 2.333 2.333
```

=====

[2]
Compound: TbTaRh
Source: Alexandria
Functional: PBE
Structure: optimized geometry Values from VASP.

Values from the calculation:
- ρ (Mg/m³) = 10.74
- final energy (eV per atom) = -7.976

Cell and atoms, written as Quantum ESPRESSO input:
```
&SYSTEM
  ibrav = 0, nat = 3, ntyp = 3
/
ATOMIC_SPECIES
Tb 158.93 Tb.upf
Ta 180.95 Ta.upf
Rh 102.91 Rh.upf
CELL_PARAMETERS angstrom
3.308 0.000 0.000
0.000 4.041 0.000
0.000 0.000 5.123
ATOMIC_POSITIONS angstrom
Tb 0.000 0.000 0.000
Ta 0.000 2.021 2.561
Rh 1.654 0.000 2.561
```

=====

[3]
Compound: Tb2TmTa2Rh5
Source: Alexandria
Functional: PBE
Structure: optimized geometry Values from VASP.

Values from the calculation:
- ρ (Mg/m³) = 11.57
- final energy (eV per atom) = -7.949

Cell and atoms, written as Quantum ESPRESSO input:
```
&SYSTEM
  ibrav = 0, nat = 20, ntyp = 4
/
ATOMIC_SPECIES
Tb 158.93 Tb.upf
Tm 168.93 Tm.upf
Ta 180.95 Ta.upf
Rh 102.91 Rh.upf
CELL_PARAMETERS angstrom
10.180 0.000 0.000
0.000 10.180 0.000
0.000 0.000 3.775
ATOMIC_POSITIONS angstrom
Tb 1.796 3.294 0.000
Tb 3.294 8.385 0.000
Tb 6.886 1.796 0.000
Tb 8.385 6.886 0.000
Tm 0.000 0.000 0.000
Tm 5.090 5.090 0.000
Ta 1.236 6.326 0.000
Ta 3.854 1.236 0.000
Ta 6.326 8.944 0.000
Ta 8.944 3.854 0.000
Rh 0.000 5.090 1.888
Rh 0.664 8.009 1.888
Rh 2.171 0.664 1.888
Rh 2.919 5.754 1.888
Rh 4.426 2.919 1.888
Rh 5.090 0.000 1.888
Rh 5.754 7.261 1.888
Rh 7.261 4.426 1.888
Rh 8.009 9.516 1.888
Rh 9.516 2.171 1.888
```

=====

[4]
Compound: Tb2ZrTa2Rh5
Source: Alexandria
Functional: PBE
Structure: optimized geometry Values from VASP.

Values from the calculation:
- ρ (Mg/m³) = 11.22
- final energy (eV per atom) = -8.309

Cell and atoms, written as Quantum ESPRESSO input:
```
&SYSTEM
  ibrav = 0, nat = 20, ntyp = 4
/
ATOMIC_SPECIES
Tb 158.93 Tb.upf
Zr 91.22 Zr.upf
Ta 180.95 Ta.upf
Rh 102.91 Rh.upf
CELL_PARAMETERS angstrom
10.610 0.000 0.000
0.000 10.610 0.000
0.000 0.000 3.381
ATOMIC_POSITIONS angstrom
Tb 1.831 3.474 0.000
Tb 3.474 8.779 0.000
Tb 7.136 1.831 0.000
Tb 8.779 7.136 0.000
Zr 0.000 0.000 0.000
Zr 5.305 5.305 0.000
Ta 1.426 6.731 0.000
Ta 3.879 1.426 0.000
Ta 6.731 9.184 0.000
Ta 9.184 3.879 0.000
Rh 0.000 5.305 1.690
Rh 0.437 8.436 1.690
Rh 2.174 0.437 1.690
Rh 3.131 5.742 1.690
Rh 4.868 3.131 1.690
Rh 5.305 0.000 1.690
Rh 5.742 7.479 1.690
Rh 7.479 4.868 1.690
Rh 8.436 10.173 1.690
Rh 10.173 2.174 1.690
```

=====

[5]
Compound: TaTc2Rh
Source: Alexandria
Functional: PBE
Structure: optimized geometry Values from VASP.

Values from the calculation:
- relative energy among the computed polymorphs (meV per atom) = 53
- ρ (Mg/m³) = 12.95
- final energy (eV per atom) = -10.126

Cell and atoms, written as Quantum ESPRESSO input:
```
&SYSTEM
  ibrav = 0, nat = 4, ntyp = 3
/
ATOMIC_SPECIES
Ta 180.95 Ta.upf
Tc 98.00 Tc.upf
Rh 102.91 Rh.upf
CELL_PARAMETERS angstrom
2.826 0.000 0.000
0.000 3.854 0.000
0.000 0.000 5.651
ATOMIC_POSITIONS angstrom
Ta 0.000 0.000 0.000
Tc 0.000 0.000 2.764
Tc 1.413 1.927 1.568
Rh 1.413 1.927 4.282
```

=====

[6]
Compound: TaTcRh6
Source: Alexandria
Functional: PBE
Structure: optimized geometry Values from VASP.

Values from the calculation:
- relative energy among the computed polymorphs (meV per atom) = 816
- ρ (Mg/m³) = 10.86
- final energy (eV per atom) = -7.772

Cell and atoms, written as Quantum ESPRESSO input:
```
&SYSTEM
  ibrav = 0, nat = 8, ntyp = 3
/
ATOMIC_SPECIES
Ta 180.95 Ta.upf
Tc 98.00 Tc.upf
Rh 102.91 Rh.upf
CELL_PARAMETERS angstrom
3.545 2.046 3.150
-3.545 2.046 3.150
0.000 -4.093 3.150
ATOMIC_POSITIONS angstrom
Ta 0.000 0.000 0.000
Tc 0.000 0.000 4.724
Rh -2.189 -1.264 4.331
Rh 0.000 -2.528 5.117
Rh -2.189 1.264 5.117
Rh 2.189 -1.264 4.331
Rh 0.000 2.528 4.331
Rh 2.189 1.264 5.117
```

=====

[7]
Compound: TaTcRh
Source: Alexandria
Functional: PBE
Structure: optimized geometry Values from VASP.

Values from the calculation:
- relative energy among the computed polymorphs (meV per atom) = 161
- ρ (Mg/m³) = 13.51
- final energy (eV per atom) = -9.982

Cell and atoms, written as Quantum ESPRESSO input:
```
&SYSTEM
  ibrav = 0, nat = 3, ntyp = 3
/
ATOMIC_SPECIES
Ta 180.95 Ta.upf
Tc 98.00 Tc.upf
Rh 102.91 Rh.upf
CELL_PARAMETERS angstrom
-1.383 1.963 4.321
1.383 -1.963 4.321
1.383 1.963 -4.321
ATOMIC_POSITIONS angstrom
Ta 0.000 0.000 0.000
Tc 0.000 0.000 5.786
Rh 0.000 0.000 2.847
```

=====

[8]
Compound: TaTc2Rh
Source: Alexandria
Functional: PBE
Structure: optimized geometry Values from VASP.

Values from the calculation:
- relative energy among the computed polymorphs (meV per atom) = 80
- ρ (Mg/m³) = 12.98
- final energy (eV per atom) = -10.099

Cell and atoms, written as Quantum ESPRESSO input:
```
&SYSTEM
  ibrav = 0, nat = 4, ntyp = 3
/
ATOMIC_SPECIES
Ta 180.95 Ta.upf
Tc 98.00 Tc.upf
Rh 102.91 Rh.upf
CELL_PARAMETERS angstrom
4.589 -1.398 0.000
4.589 1.398 0.000
-0.816 0.000 4.786
ATOMIC_POSITIONS angstrom
Ta 0.000 0.000 0.000
Tc 1.653 0.000 3.423
Tc 4.135 0.000 2.393
Rh 6.692 0.000 1.142
```